This record from Alexandria via LeMat-Bulk describes a PBEsol-optimized structure of CdCl. The functional is meta-GGA SCAN.

```
CdCl
1.0
3.722 0.000 0.000
1.861 6.009 -0.091
1.861 0.123 6.754
Cd Cl
3 3
direct
0.427 0.451 0.695
0.979 0.003 0.040
0.320 0.011 0.348
0.770 0.507 0.953
0.642 0.022 0.693
0.029 0.507 0.436
```

Calculated values
Space-group type ... Cm
E_form (uncorrected) ... -1.5 eV per formula unit
Spin magnetization ... 0.00 μB/f.u.